[1]
A plane-wave DFT calculation with PBE was carried out for a geometry-optimized SrMgZn4In2 structure.

Results
For the density of states at the Fermi level, the calculation gives 2.1 states/eV/f.u. The value obtained for the energy of formation from the pure elements is -2.6 kcal/mol of atoms. As for the symmetry: No. 166. For the total magnetization, the calculation gives 0.00 μB per cell.

Geometry as POSCAR:
```
SrMgZn4In2
1.0
-1.4150 -4.4387 -0.1597
2.7606 -3.3862 1.6254
-3.4744 -1.6679 9.1110
In Mg Sr Zn
2 1 1 4
Direct
0.7594 0.7594 0.7219
0.2406 0.2406 0.2781
0.5000 0.5000 0.5000
0.0000 0.0000 0.0000
0.1284 0.1284 0.6148
0.8716 0.8716 0.3852
0.3991 0.3991 0.8026
0.6009 0.6009 0.1974
```

***

[2]
A plane-wave DFT calculation with PBE was carried out for a geometry-optimized PuPa2Sn2Pd2 structure.

Results
For the density of states at the Fermi level, the calculation gives 15.3 states/eV/f.u. The value obtained for the energy of formation from the pure elements is -9.7 kcal/mol of atoms. As for the symmetry: No. 166. For the total magnetization, the calculation gives 7.95 μB per cell.

Geometry as POSCAR:
```
PuPa2Sn2Pd2
1.0
4.7396 0.0000 0.0000
2.3698 4.1046 0.0000
2.3698 1.3682 8.4565
Pd Pu Sn Pa
2 1 2 2
Direct
0.4408 0.4408 0.6777
0.5592 0.5592 0.3223
0.0000 0.0000 0.0000
0.7320 0.7320 0.8041
0.2680 0.2680 0.1959
0.8598 0.8598 0.4206
0.1402 0.1402 0.5794
```